Entry 1:
CsTbP4O12 | PBE-GGA | relaxed

abc: 6.9885 8.6184 8.9966
angles: 90.00 90.00 99.87
Last column: nearest neighbours and their distance in Å.
Element x y z (fractional)
P1 0.9410 0.6260 0.3948  4 O 1.49-1.63
O1 0.7138 0.3792 0.6722  2 P 1.61-1.62
O2 0.8725 0.9052 0.8427  1 P 1.47
P2 0.3170 0.7797 0.0730  4 O 1.49-1.62
O3 0.9470 0.1925 0.9006  2 P 1.61-1.63
Cs1 0.3330 0.8265 0.6627  7 O 2.96-3.25
O4 0.1574 0.7639 0.9606  1 P 1.49
O5 0.0530 0.8075 0.4006  2 P 1.61-1.63
P3 0.6375 0.5414 0.6361  4 O 1.49-1.61
O6 0.1275 0.0948 0.3427  1 P 1.47
O7 0.2844 0.9078 0.1972  2 P 1.61-1.63
O8 0.4754 0.1755 0.5254  1 P 1.50
O9 0.1594 0.4072 0.7489  1 P 1.49
Tb1 0.8018 0.6961 0.0027  8 O 2.27-2.48
Cs2 0.6670 0.1735 0.1627  7 O 2.96-3.25
O10 0.7156 0.0922 0.6972  2 P 1.61-1.63
O11 0.2054 0.3571 0.0287  2 P 1.60
O12 0.3566 0.3677 0.2769  1 P 1.49
Tb2 0.1982 0.3039 0.5027  8 O 2.27-2.48
P4 0.3624 0.4586 0.1361  4 O 1.49-1.61
O13 0.9171 0.4724 0.9478  1 P 1.49
O14 0.2862 0.6208 0.1722  2 P 1.61-1.62
O15 0.5483 0.4924 0.0514  1 P 1.49
O16 0.5246 0.8245 0.0254  1 P 1.50
O17 0.7946 0.6429 0.5287  2 P 1.60
O18 0.9173 0.9081 0.1626  1 P 1.50
P5 0.6830 0.2203 0.5730  4 O 1.49-1.62
P6 0.0814 0.9387 0.2716  4 O 1.47-1.63
O19 0.8406 0.5928 0.2489  1 P 1.49
O20 0.0829 0.5276 0.4478  1 P 1.49
O21 0.4517 0.5076 0.5514  1 P 1.49
P7 0.9186 0.0613 0.7716  4 O 1.47-1.63
O22 0.0827 0.0919 0.6626  1 P 1.50
O23 0.6434 0.6323 0.7769  1 P 1.49
P8 0.0590 0.3740 0.8948  4 O 1.49-1.63
O24 0.8426 0.2361 0.4606  1 P 1.49

The value obtained for the energy is -0.5339 Ry per atom. The size of the total moment comes out at 0.000 μB per atom.


Entry 2:
CsTcPO | PBE-GGA | relaxed

abc: 4.1326 4.1326 11.5745
angles: 90.00 90.00 90.00
Last column: nearest neighbours and their distance in Å.
Element x y z (fractional)
Cs1 0.5000 0.0000 0.8325  4 O 2.83
O1 0.5000 0.5000 0.0000  4 Cs 2.83, 4 O 2.92
Tc1 0.5000 0.5000 0.5000  4 P 2.32
O2 0.0000 0.0000 0.0000  4 Cs 2.83, 4 O 2.92
Cs2 0.0000 0.5000 0.1675  4 O 2.83
Tc2 0.0000 0.0000 0.5000  4 P 2.32
P1 0.0000 0.5000 0.5917  4 Tc 2.32
P2 0.5000 0.0000 0.4083  4 Tc 2.32

The calculation puts the energy above the most stable polymorph in this dataset at 477 meV/atom. The size of the total moment comes out at 0.152 μB per atom.


Entry 3:
CsTcPO | PBE-GGA | relaxed

abc: 3.4186 7.6369 7.1933
angles: 90.00 90.00 90.00
Last column: nearest neighbours and their distance in Å.
Element x y z (fractional)
P1 0.5000 0.9684 0.2607  2 Tc 2.20-2.21
Cs1 0.0000 0.3283 0.0450  2 O 2.95-3.01
Cs2 0.0000 0.6717 0.5450  2 O 2.95-3.01
P2 0.5000 0.0316 0.7607  2 Tc 2.20-2.21
O1 0.0000 0.7070 0.9617  2 Tc 1.99
O2 0.0000 0.2930 0.4617  2 Tc 1.99
Tc1 0.5000 0.1625 0.4866  2 O 1.99, 2 P 2.20-2.21
Tc2 0.5000 0.8375 0.9866  2 O 1.99, 2 P 2.20-2.21

The calculation puts the energy above the most stable polymorph in this dataset at 0 meV/atom. The size of the total moment comes out at 0.000 μB per atom.


Entry 4:
CsZnPO | PBE-GGA | relaxed

abc: 3.2787 9.0241 5.8156
angles: 90.00 90.00 90.00
Last column: nearest neighbours and their distance in Å.
Element x y z (fractional)
P1 0.0000 0.5024 0.7574  2 Zn 2.44-2.47
Cs1 0.5000 0.8447 0.9987  3 O 2.91-2.92
Cs2 0.5000 0.1553 0.4987  3 O 2.91-2.92
Zn1 0.0000 0.2811 0.9988  2 O 1.93
P2 0.0000 0.4976 0.2574  2 Zn 2.44-2.47
Zn2 0.0000 0.7189 0.4988  2 O 1.93
O1 0.5000 0.8319 0.4991  2 Zn 1.93
O2 0.5000 0.1681 0.9991  2 Zn 1.93

The calculation puts the energy above the most stable polymorph in this dataset at 0 meV/atom.


Entry 5:
CsZnPO4 | PBE-GGA | relaxed

abc: 9.1965 5.4189 9.2528
angles: 90.00 90.00 90.00
Last column: nearest neighbours and their distance in Å.
Element x y z (fractional)
Cs1 0.0048 0.2627 0.2103  6 O 2.94-3.24
Zn1 0.6794 0.2511 0.9179  4 O 1.94-1.95
O1 0.2639 0.6444 0.2749  1 P 1.55
O2 0.2585 0.0159 0.4428  1 P 1.56
O3 0.7415 0.5159 0.5572  1 P 1.56
Zn2 0.1794 0.2511 0.5821  4 O 1.94-1.95
O4 0.5311 0.7609 0.1006  1 P 1.54
P1 0.3027 0.2520 0.9146  4 O 1.54-1.56
O5 0.0311 0.7609 0.3994  1 P 1.54
O6 0.7639 0.6444 0.2251  1 P 1.55
Zn3 0.3206 0.7511 0.0821  4 O 1.94-1.95
Cs2 0.9952 0.7627 0.7897  6 O 2.94-3.24
O7 0.2415 0.5159 0.9428  1 P 1.56
Cs3 0.5048 0.2627 0.2897  6 O 2.94-3.24
O8 0.7551 0.0849 0.4570  1 P 1.56
P2 0.1973 0.7520 0.4146  4 O 1.54-1.56
O9 0.2551 0.0849 0.0430  1 P 1.56
P3 0.6973 0.7520 0.0854  4 O 1.54-1.56
O10 0.7449 0.5849 0.9570  1 P 1.56
O11 0.2449 0.5849 0.5430  1 P 1.56
O12 0.2361 0.1444 0.7749  1 P 1.55
P4 0.8027 0.2520 0.5854  4 O 1.54-1.56
O13 0.9689 0.2609 0.6006  1 P 1.54
O14 0.7585 0.0159 0.0572  1 P 1.56
O15 0.7361 0.1444 0.7251  1 P 1.55
Cs4 0.4952 0.7627 0.7103  6 O 2.94-3.24
Zn4 0.8206 0.7511 0.4179  4 O 1.94-1.95
O16 0.4689 0.2609 0.8994  1 P 1.54

The calculation puts the energy above the most stable polymorph in this dataset at 1 meV/atom.


Entry 6:
CsZnPO | PBE-GGA | relaxed

abc: 3.5217 8.1475 6.3986
angles: 90.00 90.00 90.00
Last column: nearest neighbours and their distance in Å.
Element x y z (fractional)
Zn1 0.5000 0.1331 0.5010  2 O 1.93
Cs1 0.0000 0.2268 0.0012  4 O 3.01, 2 P 3.34-3.35
P1 0.0000 0.6536 0.0010  2 Zn 2.47
O1 0.5000 0.0001 0.2508  2 Zn 1.93
P2 0.0000 0.3464 0.5010  2 Zn 2.47
Zn2 0.5000 0.8669 0.0010  2 O 1.93
O2 0.5000 0.9999 0.7508  2 Zn 1.93
Cs2 0.0000 0.7732 0.5012  4 O 3.01, 2 P 3.34-3.35

The calculation puts the energy above the most stable polymorph in this dataset at 215 meV/atom.